Here is an optimized crystal structure of Mn2Al8Fe3 from the Alexandria database. Energies are from GGA-PBE.

abc: 7.0408 4.1734 7.0606
angles: 90.00 108.90 90.00
Positions (direct):
Mn (0.2385, 0.0000, 0.2602)
Mn (0.7615, 0.0000, 0.7398)
Al (0.1231, 0.5000, 0.3790)
Al (0.1462, 0.0000, 0.8832)
Al (0.3805, 0.5000, 0.1196)
Al (0.3833, 0.0000, 0.6449)
Al (0.6167, 0.0000, 0.3551)
Al (0.6195, 0.5000, 0.8804)
Al (0.8538, 0.0000, 0.1168)
Al (0.8769, 0.5000, 0.6210)
Fe (0.0000, 0.0000, 0.5000)
Fe (0.2455, 0.5000, 0.7462)
Fe (0.7545, 0.5000, 0.2538)

## Properties
As for the space-group type: No. 10. The calculation puts the formation energy at -0.0918 eV per atom.

Here is an optimized crystal structure of CoReHOs2 from the Alexandria database. Energies are from GGA-PBE.

abc: 4.7827 4.7827 3.0599
angles: 90.00 90.00 90.00
Positions (direct):
Co (0.0000, 0.0000, 0.0000)
Re (0.5000, 0.5000, 0.5000)
H (0.5000, 0.5000, 0.0000)
Os (0.0000, 0.5000, 0.5000)
Os (0.5000, 0.0000, 0.5000)

## Properties
As for the space-group type: No. 123. As for the energy above the most stable polymorph in this dataset: 1296 meV per atom.

Here is an optimized crystal structure of KSi2PRu from the Alexandria database. Energies are from GGA-PBE.

abc: 4.8265 4.8265 4.4679
angles: 90.00 90.00 90.00
Positions (direct):
K (0.0000, 0.0000, 0.0000)
Si (0.0000, 0.5000, 0.5000)
Si (0.5000, 0.0000, 0.5000)
P (0.5000, 0.5000, 0.5000)
Ru (0.5000, 0.5000, 0.0000)

## Properties
The calculation puts the formation energy from raw total energies at 689 meV/atom. As for the space-group type: No. 123.

Here is an optimized crystal structure of SrSiNi2Bi from the Alexandria database. Energies are from GGA-PBE.

abc: 4.7740 4.7740 6.1454
angles: 90.00 90.00 90.00
Positions (direct):
Sr (0.0000, 0.0000, 0.0000)
Si (0.5000, 0.5000, 0.5000)
Ni (0.0000, 0.5000, 0.0000)
Ni (0.5000, 0.0000, 0.0000)
Bi (0.0000, 0.0000, 0.5000)

## Properties
The calculation puts the formation energy from raw total energies at 1641 meV/atom. As for the space-group type: No. 123.